# 1
The following is a DFT calculation (meta-GGA SCAN) of CrPb3 at its PBEsol-relaxed geometry.

Summary:
symmetry	Cmmm (65)

```
CrPb3
1.0
-0.949 -2.326 2.429
-3.332 -2.481 -3.679
4.925 -2.512 -0.481
Pb Cr
3 1
Direct
0.000 0.500 0.500
0.500 0.500 0.000
0.500 0.000 0.500
0.000 0.000 0.000
```

---

# 2
The following is a DFT calculation (meta-GGA SCAN) of CrPb2 at its PBEsol-relaxed geometry.

Summary:
symmetry	I4/mmm (139)

```
CrPb2
1.0
-2.575 1.149 -1.808
-2.029 -2.215 1.482
0.979 4.838 4.784
Cr Pb
1 2
Direct
0.000 0.000 0.000
0.360 0.360 0.720
0.640 0.640 0.280
```

---

# 3
The following is a DFT calculation (meta-GGA SCAN) of CrPb3 at its PBEsol-relaxed geometry.

Summary:
symmetry	Immm (71)

```
CrPb3
1.0
-0.891 1.114 3.008
-4.568 -0.242 -1.264
2.445 -6.642 1.343
Cr Pb
1 3
Direct
0.000 0.000 0.000
0.500 0.500 0.000
0.311 0.811 0.622
0.689 0.189 0.378
```

---

# 4
The following is a DFT calculation (meta-GGA SCAN) of CrPb2 at its PBEsol-relaxed geometry.

Summary:
symmetry	P-3m1 (164)

```
CrPb2
1.0
3.503 0.000 0.000
0.000 4.962 0.000
0.000 -2.481 4.297
Pb Cr
2 1
Direct
0.266 0.333 0.667
0.734 0.667 0.333
0.000 0.000 0.000
```

---

no.,energy of formation from the pure elements (kcal/mol of atoms)
1,5.4
2,5.1
3,4.1
4,7.2